Entry from the Alexandria database: a relaxed CdTe2Se crystal (PBE).

Structure (POSCAR):
```
CdTe2Se
1.0
4.2908 0.0000 0.0000
-2.1454 3.7159 0.0000
0.0000 0.0000 21.3711
Cd Te Se
3 6 3
Direct
0.0000 0.0000 0.0000 Cd
0.3333 0.6667 0.6667 Cd
0.6667 0.3333 0.3333 Cd
0.0000 0.0000 0.2401 Te
0.0000 0.0000 0.4881 Te
0.3333 0.6667 0.1547 Te
0.3333 0.6667 0.9068 Te
0.6667 0.3333 0.5734 Te
0.6667 0.3333 0.8214 Te
0.0000 0.0000 0.7326 Se
0.3333 0.6667 0.3993 Se
0.6667 0.3333 0.0659 Se
```

## Properties
Formation energy from raw total energies, eV/f.u.: -0.2
VASP energy, Ry per atom: -0.200
Calculated volume, Å³ per atom: 28.40